Na2TlPb2 after structural relaxation, computed with GGA-PBE.

CIF file:
```
data_Na2TlPb2
_space_group_name_H-M_alt 'I 4/m m m'
_space_group_IT_number 139
_space_group_name_Hall '-I 4 2'
_cell_length_a 4.6523
_cell_length_b 4.6523
_cell_length_c 14.9225
_cell_angle_alpha 90.00
_cell_angle_beta 90.00
_cell_angle_gamma 90.00
loop_
_atom_site_label
_atom_site_type_symbol
_atom_site_fract_x
_atom_site_fract_y
_atom_site_fract_z
Na1 Na 0.0000 0.5000 0.2500
Tl1 Tl 0.0000 0.0000 0.0000
Pb1 Pb 0.0000 0.0000 0.4022
```

Properties
The total energy comes out at -2.429 eV/atom. The energy above the most stable polymorph in this dataset comes out at 182 meV per atom. The formation energy comes out at 54.8 meV/atom. The magnetization is 0.0 Bohr magnetons per cell. Its density of states at the Fermi level is 0.425 states/eV/atom.